VASP calculation (PBE-GGA) on crystalline Ce2Sm3YSb6 at its relaxed geometry.

a = 9.9835 Å, b = 9.9835 Å, c = 8.9411 Å
α = 103.04°, β = 103.04°, γ = 25.85°
Closest atoms and distances in Å follow each position.
Sites, in units of the cell vectors:
Ce: 0.1657 0.1657 0.3318  6 Sb 3.14-3.17
Ce: 0.8343 0.8343 0.6682  6 Sb 3.14-3.17
Sm: 0.1669 0.1669 0.8343  6 Sb 3.15-3.18
Sm: 0.5000 0.5000 0.5000  6 Sb 3.16-3.18
Sm: 0.8331 0.8331 0.1657  6 Sb 3.15-3.18
Y: 0.5000 0.5000 0.0000  6 Sb 3.13-3.14
Sb: 0.9997 0.9997 0.2466  2 Y 3.14, 1 Ce 3.14, 3 Sm 3.15-3.18
Sb: 0.0003 0.0003 0.7534  2 Y 3.14, 1 Ce 3.14, 3 Sm 3.15-3.18
Sb: 0.3331 0.3331 0.4166  3 Sm 3.16-3.17, 3 Ce 3.17
Sb: 0.3347 0.3347 0.9175  1 Y 3.13, 2 Ce 3.15, 3 Sm 3.15-3.18
Sb: 0.6653 0.6653 0.0825  1 Y 3.13, 2 Ce 3.15, 3 Sm 3.15-3.18
Sb: 0.6669 0.6669 0.5834  3 Sm 3.16-3.17, 3 Ce 3.17

Computed properties:
**DOS at the Fermi energy**: 14.71 states/eV/cell
**Total magnetic moment**: 1.47 μB/f.u.
**Raw formation energy**: -26.11 kcal/mol of atoms

VASP calculation (PBE-GGA) on crystalline CaBePb4 at its relaxed geometry.

a = 6.4535 Å, b = 6.4535 Å, c = 6.4535 Å
α = 60.00°, β = 60.00°, γ = 60.00°
Closest atoms and distances in Å follow each position.
Sites, in units of the cell vectors:
Ca: 0.0000 0.0000 0.0000  12 Pb 3.78, 4 Be 3.95
Be: 0.2500 0.2500 0.2500  12 Pb 3.78, 4 Ca 3.95
Pb: 0.1238 0.6254 0.6254  6 Pb 3.22-3.24
Pb: 0.6254 0.1238 0.6254  6 Pb 3.22-3.24
Pb: 0.6254 0.6254 0.1238  6 Pb 3.22-3.24
Pb: 0.6254 0.6254 0.6254  6 Pb 3.22-3.24

Computed properties:
**DOS at the Fermi energy**: 2.73 states/eV/cell
**Total magnetic moment**: 0.00 μB/f.u.
**Calculated formation energy**: 362 meV per atom

VASP calculation (PBE-GGA) on crystalline Y2HgH at its relaxed geometry.

a = 7.0902 Å, b = 3.8049 Å, c = 13.1366 Å
α = 90.00°, β = 90.00°, γ = 90.00°
Closest atoms and distances in Å follow each position.
Sites, in units of the cell vectors:
Y: 0.0748 0.2500 0.2265  1 H 2.25
Y: 0.2041 0.2500 0.9524  3 H 2.24-2.30
Y: 0.2959 0.7500 0.4524  3 H 2.24-2.30
Y: 0.4252 0.7500 0.7265  1 H 2.25
Y: 0.5748 0.2500 0.2735  1 H 2.25
Y: 0.7041 0.2500 0.5476  3 H 2.24-2.30
Y: 0.7959 0.7500 0.0476  3 H 2.24-2.30
Y: 0.9252 0.7500 0.7735  1 H 2.25
Hg: 0.1361 0.2500 0.6268  7 Y 3.09-3.23, 1 H 3.43
Hg: 0.3639 0.7500 0.1268  7 Y 3.09-3.23, 1 H 3.43
Hg: 0.6361 0.2500 0.8732  7 Y 3.09-3.23, 1 H 3.43
Hg: 0.8639 0.7500 0.3732  7 Y 3.09-3.23, 1 H 3.43
H: 0.0404 0.7500 0.9329  4 Y 2.24-2.30
H: 0.4596 0.2500 0.4329  4 Y 2.24-2.30
H: 0.5404 0.7500 0.5671  4 Y 2.24-2.30
H: 0.9596 0.2500 0.0671  4 Y 2.24-2.30

Computed properties:
**DOS at the Fermi energy**: 9.15 states/eV/cell
**Total magnetic moment**: 0.00 μB/f.u.

VASP calculation (PBE-GGA) on crystalline Er8MgAl2 at its relaxed geometry.

a = 8.3662 Å, b = 8.3662 Å, c = 5.4723 Å
α = 101.67°, β = 101.67°, γ = 117.07°
Closest atoms and distances in Å follow each position.
Sites, in units of the cell vectors:
Er: 0.0897 0.3301 0.6081  2 Al 3.01-3.14
Er: 0.2240 0.7760 0.0000  2 Al 2.97, 1 Mg 3.20
Er: 0.3301 0.0897 0.6081  2 Al 3.01-3.14
Er: 0.3974 0.3974 0.1975  4 Er 3.09-3.45, 2 Al 3.17, 1 Mg 3.21
Er: 0.6026 0.6026 0.8025  4 Er 3.09-3.45, 2 Al 3.17, 1 Mg 3.21
Er: 0.6699 0.9103 0.3919  2 Al 3.01-3.14
Er: 0.7760 0.2240 0.0000  2 Al 2.97, 1 Mg 3.20
Er: 0.9103 0.6699 0.3919  2 Al 3.01-3.14
Mg: 0.0000 0.0000 0.0000  8 Er 3.20-3.56
Al: 0.3058 0.6942 0.5000  8 Er 2.97-3.17
Al: 0.6942 0.3058 0.5000  8 Er 2.97-3.17

Computed properties:
**DOS at the Fermi energy**: 12.89 states/eV/cell
**Total magnetic moment**: 0.00 μB/f.u.
**Calculated formation energy**: -16 meV per atom

One value per record, in order, for energy: -70.8, -18.4, -73.7, -45.8 eV for the cell shown.